# 1
PaCuSi2W | PBE | relaxed

Computed properties:
- raw formation energy (eV/atom) = -0.271
- crystal system = tetragonal

Cell lengths 3.8972, 3.8972, 6.1661 Å; angles 108.42, 108.42, 90.00 degrees
Positions (direct):
Si (0.6082, 0.6082, 0.2164)
Si (0.3918, 0.3918, 0.7836)
Pa (0.0000, 0.0000, 0.0000)
W (0.7500, 0.2500, 0.5000)
Cu (0.2500, 0.7500, 0.5000)

---

# 2
YPaCuSi | PBE | relaxed

Computed properties:
- raw formation energy (eV/atom) = -0.170
- crystal system = cubic

Cell lengths 4.9156, 4.9156, 4.9156 Å; angles 60.00, 60.00, 60.00 degrees
Positions (direct):
Y (0.5000, 0.5000, 0.5000)
Pa (0.0000, 0.0000, 0.0000)
Si (0.7500, 0.7500, 0.7500)
Cu (0.2500, 0.2500, 0.2500)